First-principles (PBE) data for a relaxed LaTaRh2 crystal, as listed in Alexandria via LeMat-Bulk.

Summary:
ΔE_f   -284 meV per atom
DFT total energy   -8.154 eV per atom
Magnetization   0.0 Bohr magnetons per cell

Geometry as POSCAR:
```
LaTaRh2
1.0
5.0122 0.0000 0.0000
0.0000 5.0122 0.0000
0.0000 0.0000 3.0285
Ta Rh La
1 2 1
direct
0.5000 0.5000 0.5000
0.0000 0.5000 0.0000
0.5000 0.0000 0.0000
0.0000 0.0000 0.5000
```

***

First-principles (PBE) data for a relaxed LaTa3Rh crystal, as listed in Alexandria via LeMat-Bulk.

Summary:
ΔE_f   2315 meV per atom
DFT total energy   -7.253 eV per atom
Magnetization   0.0 Bohr magnetons per cell
Energy above the most stable polymorph in this dataset   1539 meV per atom

Geometry as POSCAR:
```
LaTa3Rh
1.0
4.8277 0.0000 0.0000
0.0000 4.8277 0.0000
0.0000 0.0000 4.8277
Ta La Rh
3 1 1
direct
0.0000 0.0000 0.5000
0.0000 0.5000 0.0000
0.5000 0.0000 0.0000
0.0000 0.0000 0.0000
0.5000 0.5000 0.5000
```

***

First-principles (PBE) data for a relaxed LaTaRh2 crystal, as listed in Alexandria via LeMat-Bulk.

Summary:
ΔE_f   -250 meV per atom
DFT total energy   -8.121 eV per atom
Magnetization   0.0 Bohr magnetons per cell

Geometry as POSCAR:
```
LaTaRh2
1.0
-1.7074 1.8276 6.9167
1.7074 -1.8276 6.9167
1.7074 1.8276 -6.9167
Ta Rh La
1 2 1
direct
0.5462 0.5462 0.0000
0.1722 0.6722 0.5000
0.9835 0.9835 0.0000
0.7981 0.2981 0.5000
```